A relaxed structure of Dy4Ho8Tm, computed with PBE-GGA.

```
Dy4Ho8Tm
1.0
6.343 0.000 -3.422
-4.095 5.931 0.000
1.234 0.852 9.876
Ho Tm Dy
8 1 4
Cartesian
0.966 5.046 5.196
3.813 5.046 3.660
6.070 1.776 3.660
-0.330 1.737 2.794
2.642 1.824 4.896
2.516 1.737 1.258
-2.587 5.007 2.793
0.841 4.959 1.557
-1.431 3.392 4.938
0.000 0.000 0.000
-2.047 2.966 0.000
3.172 0.000 -1.711
1.124 2.966 -1.711
```

Computed properties:
* volume: 408.6 Å³/f.u.
* total energy: -4.35 eV per atom
* density: 8.691 g/cm3
* Fermi-level density of states: 1.184 states/eV per atom